(1)
Compound: Ho6CdPd
Source: Alexandria
Functional: PBE
Structure: relaxed

The formation energy comes out at -0.01 eV per formula unit. The calculation puts the total energy at -33.587 eV/cell. Its size of the total moment is 0.00 μB per atom.

The structure belongs to space group P-1 (No. 2); the cell edges are 7.001, 7.009 and 7.180 Å and the angles 90.37°, 118.83° and 119.66°. The distinct sites, in fractional coordinates, are Ho at (0.030, 0.070, 0.254), Ho at (0.291, 0.722, 0.253), Ho at (0.311, 0.536, 0.747), Cd at (0.500, 0.000, 0.000) and Pd at (0.500, 0.500, 0.500).

(2)
Compound: DyTcGe2
Source: Alexandria
Functional: PBE
Structure: relaxed

For the polymorph energy (0 for the lowest one), the calculation gives 0.156 eV/atom. The formation energy comes out at -1.42 eV per formula unit. The calculation puts the total energy at -25.624 eV/cell. Its size of the total moment is 0.00 μB per atom.

The structure belongs to space group P4/mmm (No. 123); the cell edges are 3.230, 3.230 and 6.873 Å and the angles 90.00°, 90.00° and 90.00°. The distinct sites, in fractional coordinates, are Dy at (0.000, 0.000, 0.000), Tc at (0.000, 0.000, 0.500) and Ge at (0.500, 0.500, 0.299).

(3)
Compound: Ba2LaTc
Source: Alexandria
Functional: PBE
Structure: relaxed

For the polymorph energy (0 for the lowest one), the calculation gives 0.000 eV/atom. The formation energy comes out at 1.36 eV per formula unit. The calculation puts the total energy at -35.564 eV/cell. Its size of the total moment is 0.12 μB per atom.

The structure belongs to space group Cm (No. 8); the cell edges are 8.638, 4.569 and 8.977 Å and the angles 90.00°, 106.64° and 90.00°. The distinct sites, in fractional coordinates, are Ba at (0.000, 0.000, 0.000), Ba at (0.165, 0.000, 0.555), La at (0.395, 0.000, 0.279) and Tc at (0.253, 0.500, 0.282).

(4)
Compound: CaSnSe2
Source: Alexandria
Functional: PBE
Structure: relaxed

The calculation puts the total energy at -67.543 eV/cell. Its size of the total moment is 0.00 μB per atom.

The structure belongs to space group I-42d (No. 122); the cell edges are 6.569, 6.569 and 13.782 Å and the angles 90.00°, 90.00° and 90.00°. The distinct sites, in fractional coordinates, are Ca at (0.000, 0.000, 0.000), Sn at (0.000, 0.000, 0.500) and Se at (0.242, 0.250, 0.125).